1.
This record from OQMD via LeMat-Bulk describes crystalline Sn2PdS3 at its relaxed geometry. The functional is GGA-PBE.

It has space group Immm (No. 71), with a = 3.7421 Å, b = 4.6732 Å, c = 14.9724 Å, α = 90.00°, β = 90.00° and γ = 90.00°. Symmetry generates all atoms from Sn at (0.0000, 0.0000, 0.1478), Pd at (0.0000, 0.0000, 0.5000), S at (0.0000, 0.0000, 0.3397) and S at (0.0000, 0.5000, 0.5000).

The uncorrected energy comes out at -54.50 eV for the cell shown. The calculated volume comes out at 261.8 Å³ per cell.

---

2.
This record from OQMD via LeMat-Bulk describes crystalline Sn2PdS at its relaxed geometry. The functional is GGA-PBE.

It has space group Pmn2_1 (No. 31), with a = 3.8736 Å, b = 12.0358 Å, c = 3.8788 Å, α = 90.00°, β = 90.00° and γ = 90.00°. Symmetry generates all atoms from Sn at (0.0000, 0.0919, 0.0000), Sn at (0.0000, 0.6361, 0.8805), Pd at (0.0000, 0.8604, 0.9957) and S at (0.0000, 0.4134, 0.9143).

The uncorrected energy comes out at -37.66 eV for the cell shown. The calculated volume comes out at 180.8 Å³ per cell.

---

3.
This record from OQMD via LeMat-Bulk describes crystalline Sn2PdS at its relaxed geometry. The functional is GGA-PBE.

It has space group Pmc2_1 (No. 26), with a = 3.9636 Å, b = 3.9790 Å, c = 11.1781 Å, α = 90.00°, β = 90.00° and γ = 90.00°. Symmetry generates all atoms from Sn at (0.0000, 0.0118, 0.0000), Sn at (0.5000, 0.4869, 0.2472), Pd at (0.5000, 0.4919, 0.4974) and S at (0.0000, 0.0018, 0.7457).

The uncorrected energy comes out at -37.68 eV for the cell shown. The calculated volume comes out at 176.3 Å³ per cell.

---

4.
This record from OQMD via LeMat-Bulk describes crystalline SnPdS4 at its relaxed geometry. The functional is GGA-PBE.

It has space group P2/m (No. 10), with a = 6.2454 Å, b = 3.6254 Å, c = 7.1262 Å, α = 90.00°, β = 106.22° and γ = 90.00°. Symmetry generates all atoms from Sn at (0.0000, 0.0000, 0.0000), Pd at (0.5000, 0.5000, 0.0000), S at (0.1205, 0.5000, 0.7927) and S at (0.4149, 0.0000, 0.1922).

The uncorrected energy comes out at -27.32 eV for the cell shown. The calculated volume comes out at 154.9 Å³ per cell.

---

5.
This record from OQMD via LeMat-Bulk describes crystalline Sn10PdS10 at its relaxed geometry. The functional is GGA-PBE.

It has space group Pbam (No. 55), with a = 11.1617 Å, b = 11.4384 Å, c = 8.6806 Å, α = 90.00°, β = 90.00° and γ = 90.00°. Symmetry generates all atoms from Sn at (0.0000, 0.0000, 0.2283), Sn at (0.1350, 0.4102, 0.2664), Sn at (0.1516, 0.6854, 0.0000), Sn at (0.2351, 0.6805, 0.5000), Pd at (0.0000, 0.5000, 0.0000), S at (0.0155, 0.3184, 0.5000), S at (0.1386, 0.9101, 0.0000), S at (0.1784, 0.1904, 0.1982) and S at (0.1973, 0.9282, 0.5000).

The uncorrected energy comes out at -187.50 eV for the cell shown. The calculated volume comes out at 1108.3 Å³ per cell.

---

6.
This record from OQMD via LeMat-Bulk describes crystalline Sn4Pd3S at its relaxed geometry. The functional is GGA-PBE.

It has space group Pm (No. 6), with a = 3.6032 Å, b = 4.2083 Å, c = 11.0747 Å, α = 90.00°, β = 98.04° and γ = 90.00°. Symmetry generates all atoms from Sn at (0.0000, 0.0000, 0.0000), Sn at (0.1326, 0.5000, 0.2636), Sn at (0.3993, 0.5000, 0.7886), Sn at (0.7274, 0.0000, 0.4952), Pd at (0.5215, 0.5000, 0.0522), Pd at (0.6260, 0.0000, 0.2354), Pd at (0.8782, 0.0000, 0.7498) and S at (0.2350, 0.5000, 0.5022).

The uncorrected energy comes out at -38.72 eV for the cell shown. The calculated volume comes out at 166.3 Å³ per cell.

---

7.
This record from OQMD via LeMat-Bulk describes crystalline SrPd2S4 at its relaxed geometry. The functional is GGA-PBE.

It has space group P2_1/m (No. 11), with a = 6.5838 Å, b = 6.8337 Å, c = 7.0637 Å, α = 90.00°, β = 108.29° and γ = 90.00°. Symmetry generates all atoms from Sr at (0.1989, 0.2500, 0.4963), Pd at (0.0228, 0.7500, 0.0097), Pd at (0.5000, 0.0000, 0.0000), S at (0.1290, 0.0093, 0.8412), S at (0.3023, 0.7500, 0.5015) and S at (0.4652, 0.2500, 0.2173).

The uncorrected energy comes out at -68.21 eV for the cell shown. The calculated volume comes out at 301.8 Å³ per cell.

---

8.
This record from OQMD via LeMat-Bulk describes crystalline TePdS at its relaxed geometry. The functional is GGA-PBE.

It has space group P2_13 (No. 198), with a = 6.3489 Å, b = 6.3489 Å, c = 6.3489 Å, α = 90.00°, β = 90.00° and γ = 90.00°. Symmetry generates all atoms from Te at (0.1178, 0.1178, 0.1178), Pd at (0.0137, 0.5137, 0.9863) and S at (0.1078, 0.3922, 0.6078).

The uncorrected energy comes out at -52.51 eV for the cell shown. The calculated volume comes out at 255.9 Å³ per cell.

---

9.
This record from OQMD via LeMat-Bulk describes crystalline Te2Pd3S2 at its relaxed geometry. The functional is GGA-PBE.

It has space group I2_13 (No. 199), with a = 8.3983 Å, b = 8.3983 Å, c = 8.3983 Å, α = 90.00°, β = 90.00° and γ = 90.00°. Symmetry generates all atoms from Te at (0.0190, 0.0190, 0.0190), Pd at (0.0000, 0.2500, 0.2916) and S at (0.2202, 0.2798, 0.7202).

The uncorrected energy comes out at -127.59 eV for the cell shown. The calculated volume comes out at 592.3 Å³ per cell.

---

10.
This record from OQMD via LeMat-Bulk describes crystalline Tl2PdS4 at its relaxed geometry. The functional is GGA-PBE.

It has space group Fd-3m (No. 227, origin choice 2), with a = 10.9759 Å, b = 10.9759 Å, c = 10.9759 Å, α = 90.00°, β = 90.00° and γ = 90.00°. Symmetry generates all atoms from Tl at (0.0000, 0.0000, 0.0000), Pd at (0.1250, 0.1250, 0.6250) and S at (0.0011, 0.0011, 0.7489).

The uncorrected energy comes out at -210.95 eV for the cell shown. The calculated volume comes out at 1322.3 Å³ per cell.

---

11.
This record from OQMD via LeMat-Bulk describes crystalline Tl4PdS4 at its relaxed geometry. The functional is GGA-PBE.

It has space group Cc (No. 9), with a = 11.7928 Å, b = 11.3483 Å, c = 7.0312 Å, α = 90.00°, β = 91.83° and γ = 90.00°. Symmetry generates all atoms from Tl at (0.0000, 0.0436, 0.0000), Tl at (0.1628, 0.4466, 0.5658), Tl at (0.3344, 0.2123, 0.0630), Tl at (0.4562, 0.1586, 0.5903), Pd at (0.1854, 0.1146, 0.5589), S at (0.0453, 0.2386, 0.7219), S at (0.1731, 0.2474, 0.3026), S at (0.2755, 0.0195, 0.8475) and S at (0.3459, 0.3731, 0.7991).

The uncorrected energy comes out at -132.70 eV for the cell shown. The calculated volume comes out at 940.5 Å³ per cell.

---

12.
This record from OQMD via LeMat-Bulk describes crystalline TmTlPdS3 at its relaxed geometry. The functional is GGA-PBE.

It has space group Cmcm (No. 63), with a = 3.9005 Å, b = 14.6499 Å, c = 10.0239 Å, α = 90.00°, β = 90.00° and γ = 90.00°. Symmetry generates all atoms from Tm at (0.0000, 0.0000, 0.0000), Tl at (0.0000, 0.2414, 0.2500), Pd at (0.0000, 0.4887, 0.7500), S at (0.0000, 0.0833, 0.7500) and S at (0.0000, 0.3803, 0.5687).

The uncorrected energy comes out at -120.05 eV for the cell shown. As for the size of the total moment: 0.1 μB/f.u. The calculated volume comes out at 572.8 Å³ per cell.